[1]
Density functional theory data (PBE) for a relaxed DyEr7Th2 crystal.

The space group is P-1 (No. 2) and the conventional cell measures 3.548, 9.324 and 9.940 Å, with angles of 105.62, 90.02 and 100.90 degrees. Symmetry generates all atoms from Dy at (0.000, 0.000, 0.000), Er at (0.000, 0.000, 0.500), Er at (0.201, 0.402, 0.604), Er at (0.398, 0.795, 0.197), Er at (0.399, 0.800, 0.699) and Th at (0.200, 0.399, 0.100).

As for the relative energy among the computed polymorphs: 0 meV/atom. The volume is 31.05 Å³ per atom. The formation energy is 0.02 eV per atom.

[2]
Density functional theory data (PBE) for a relaxed InAgAsSe2 crystal.

The space group is P4/mmm (No. 123) and the conventional cell measures 5.236, 5.236 and 5.031 Å, with angles of 90.00, 90.00 and 90.00 degrees. Symmetry generates all atoms from In at (0.000, 0.000, 0.000), Ag at (0.500, 0.500, 0.500), As at (0.500, 0.500, 0.000) and Se at (0.000, 0.500, 0.500).

As for the relative energy among the computed polymorphs: 0 meV/atom. The value obtained for the uncorrected formation energy is 0.50 eV per atom. The volume is 27.58 Å³ per atom.

[3]
Density functional theory data (PBE) for a relaxed Ca4CrRe crystal.

The space group is F-43m (No. 216) and the conventional cell measures 8.797, 8.797 and 8.797 Å, with angles of 90.00, 90.00 and 90.00 degrees. Symmetry generates all atoms from Ca at (0.124, 0.124, 0.376), Cr at (0.000, 0.000, 0.000) and Re at (0.250, 0.250, 0.750).

The volume is 28.37 Å³ per atom. The formation energy is 1.34 eV per atom.